## LiSe2Br (PBE-GGA)

Data for an optimized crystal structure of LiSe2Br.

Values from the calculation:
Energy above the lowest structure with this stoichiometry (eV per formula unit): 2.657
Calculated total energy (eV per atom): -2.613
Space group: No. 119
Formation energy from raw total energies (meV/atom): 26

Structure (extended XYZ):
```
4
Lattice="-1.953 1.953 6.165 1.953 -1.953 6.165 1.953 1.953 -6.165" Properties=species:S:1:pos:R:3 pbc="T T T"
Li 0.000 0.000 0.000
Se 1.953 0.000 3.083
Se 0.000 0.000 6.165
Br 0.000 1.953 3.083
```

## LiSe2Br (PBE-GGA)

Data for an optimized crystal structure of LiSe2Br.

Values from the calculation:
Energy above the lowest structure with this stoichiometry (eV per formula unit): 1.406
Calculated total energy (eV per atom): -2.926
Space group: No. 123
Formation energy from raw total energies (meV/atom): -287

Structure (extended XYZ):
```
4
Lattice="2.830 0.000 0.000 0.000 2.830 0.000 0.000 0.000 12.541" Properties=species:S:1:pos:R:3 pbc="T T T"
Li 0.000 0.000 0.000
Se 1.415 1.415 1.993
Se 1.415 1.415 10.548
Br 0.000 0.000 6.270
```

## Li4SeBr2 (PBE-GGA)

Data for an optimized crystal structure of Li4SeBr2.

Values from the calculation:
Calculated total energy (eV per atom): -3.347
Space group: No. 139
Formation energy from raw total energies (meV/atom): -1278

Structure (extended XYZ):
```
7
Lattice="-2.432 2.432 7.031 2.432 -2.432 7.031 2.432 2.432 -7.031" Properties=species:S:1:pos:R:3 pbc="T T T"
Li 2.432 0.000 0.000
Li 0.000 0.000 2.462
Li 0.000 2.432 0.000
Li 0.000 0.000 11.599
Se 0.000 0.000 0.000
Br 0.000 0.000 4.908
Br 0.000 0.000 9.153
```

## Li2SeBr (PBE-GGA)

Data for an optimized crystal structure of Li2SeBr.

Values from the calculation:
Energy above the lowest structure with this stoichiometry (eV per formula unit): 0.439
Calculated total energy (eV per atom): -3.190
Space group: No. 122
Formation energy from raw total energies (meV/atom): -944

Structure (extended XYZ):
```
8
Lattice="-3.223 3.223 4.715 3.223 -3.223 4.715 3.223 3.223 -4.715" Properties=species:S:1:pos:R:3 pbc="T T T"
Li 4.835 1.529 -1.179
Li 1.529 1.612 1.179
Li -1.612 1.694 3.537
Li 1.694 1.612 5.894
Se 3.223 0.000 2.358
Se 0.000 0.000 4.715
Br 0.000 0.000 0.000
Br 0.000 3.223 2.358
```

## LiSeBr2 (PBE-GGA)

Data for an optimized crystal structure of LiSeBr2.

Values from the calculation:
Energy above the lowest structure with this stoichiometry (eV per formula unit): 0.685
Calculated total energy (eV per atom): -2.590
Space group: No. 99
Formation energy from raw total energies (meV/atom): -404

Structure (extended XYZ):
```
4
Lattice="3.729 0.000 0.000 0.000 3.729 0.000 0.000 0.000 8.160" Properties=species:S:1:pos:R:3 pbc="T T T"
Li 0.000 0.000 0.000
Se 1.864 1.864 7.630
Br 0.000 0.000 2.374
Br 1.864 1.864 5.303
```

## LiSe2Br (PBE-GGA)

Data for an optimized crystal structure of LiSe2Br.

Values from the calculation:
Energy above the lowest structure with this stoichiometry (eV per formula unit): 0.163
Calculated total energy (eV per atom): -3.236
Space group: No. 139
Formation energy from raw total energies (meV/atom): -597

Structure (extended XYZ):
```
4
Lattice="-1.862 1.862 8.994 1.862 -1.862 8.994 1.862 1.862 -8.994" Properties=species:S:1:pos:R:3 pbc="T T T"
Li 0.000 0.000 0.000
Se 1.862 0.000 4.497
Se 0.000 1.862 4.497
Br 0.000 0.000 8.994
```

## LiSe2Br (PBE-GGA)

Data for an optimized crystal structure of LiSe2Br.

Values from the calculation:
Energy above the lowest structure with this stoichiometry (eV per formula unit): 0.122
Calculated total energy (eV per atom): -3.247
Space group: No. 122
Formation energy from raw total energies (meV/atom): -608

Structure (extended XYZ):
```
8
Lattice="-1.859 1.859 17.953 1.859 -1.859 17.953 1.859 1.859 -17.953" Properties=species:S:1:pos:R:3 pbc="T T T"
Li 0.000 0.000 0.000
Li 0.000 1.859 8.976
Se 0.930 -0.929 13.465
Se 0.930 0.930 4.488
Se 0.930 2.788 -4.488
Se 0.929 0.930 22.441
Br 1.859 0.000 8.976
Br 0.000 0.000 17.953
```

## LiSe2Br (PBE-GGA)

Data for an optimized crystal structure of LiSe2Br.

Values from the calculation:
Energy above the lowest structure with this stoichiometry (eV per formula unit): 1.182
Calculated total energy (eV per atom): -2.982
Space group: No. 47
Formation energy from raw total energies (meV/atom): -343

Structure (extended XYZ):
```
4
Lattice="4.798 0.000 0.000 0.000 4.948 0.000 0.000 0.000 7.367" Properties=species:S:1:pos:R:3 pbc="T T T"
Li 0.000 0.000 0.000
Se 1.133 2.474 3.683
Se 3.665 2.474 3.683
Br 2.399 0.000 0.000
```

## LiSeBr2 (PBE-GGA)

Data for an optimized crystal structure of LiSeBr2.

Values from the calculation:
Energy above the lowest structure with this stoichiometry (eV per formula unit): 1.205
Calculated total energy (eV per atom): -2.460
Space group: No. 122
Formation energy from raw total energies (meV/atom): -274

Structure (extended XYZ):
```
8
Lattice="-3.702 3.702 3.701 3.702 -3.702 3.701 3.702 3.702 -3.701" Properties=species:S:1:pos:R:3 pbc="T T T"
Li 0.000 0.000 0.000
Li 0.000 3.702 1.850
Se 3.702 0.000 1.850
Se 0.000 0.000 3.701
Br 5.553 1.627 -0.925
Br 1.627 1.851 0.925
Br -1.851 2.075 2.776
Br 2.075 1.851 4.626
```

## LiSeBr2 (PBE-GGA)

Data for an optimized crystal structure of LiSeBr2.

Values from the calculation:
Energy above the lowest structure with this stoichiometry (eV per formula unit): 1.373
Calculated total energy (eV per atom): -2.418
Space group: No. 123
Formation energy from raw total energies (meV/atom): -232

Structure (extended XYZ):
```
4
Lattice="5.053 0.000 0.000 0.000 5.053 0.000 0.000 0.000 3.613" Properties=species:S:1:pos:R:3 pbc="T T T"
Li 0.000 0.000 0.000
Se 2.527 2.527 0.000
Br 0.000 2.527 1.807
Br 2.527 0.000 1.807
```

## LiSe2Br (PBE-GGA)

Data for an optimized crystal structure of LiSe2Br.

Values from the calculation:
Energy above the lowest structure with this stoichiometry (eV per formula unit): 2.078
Calculated total energy (eV per atom): -2.758
Space group: No. 166
Formation energy from raw total energies (meV/atom): -119

Structure (extended XYZ):
```
4
Lattice="1.488 0.859 12.528 -1.488 0.859 12.528 0.000 -1.718 12.528" Properties=species:S:1:pos:R:3 pbc="T T T"
Li 0.000 0.000 0.000
Se 0.000 0.000 10.459
Se 0.000 0.000 27.125
Br 0.000 0.000 18.792
```

## LiSeBr4 (PBE-GGA)

Data for an optimized crystal structure of LiSeBr4.

Values from the calculation:
Energy above the lowest structure with this stoichiometry (eV per formula unit): 0.084
Calculated total energy (eV per atom): -2.554
Space group: No. 15
Formation energy from raw total energies (meV/atom): -539

Structure (extended XYZ):
```
12
Lattice="3.750 -8.015 0.000 3.750 8.015 0.000 -3.288 0.000 6.407" Properties=species:S:1:pos:R:3 pbc="T T T"
Li 1.283 5.077 4.805
Li 2.927 -5.077 1.602
Se 2.927 2.890 1.602
Se 1.283 -2.890 4.805
Br -0.643 3.239 4.731
Br 1.122 1.144 1.627
Br -0.522 -1.144 4.831
Br 1.001 -3.239 1.528
Br 3.210 3.239 4.878
Br 4.733 1.144 1.576
Br 3.089 -1.144 4.779
Br 4.854 -3.239 1.675
```